1) Compound: LiPr2Sn
Source: Alexandria
Functional: PBE
Structure: relaxed

As for the calculated volume: 454.16 Å³/cell.

It has space group Fm-3m (No. 225), with a = 7.687 Å, b = 7.687 Å, c = 7.687 Å, α = 90.00°, β = 90.00° and γ = 90.00°. Symmetry generates all atoms from Li at (0.000, 0.000, 0.000), Pr at (0.250, 0.250, 0.250) and Sn at (0.000, 0.000, 0.500).

***

2) Compound: LiPr2Sn
Source: Alexandria
Functional: PBE
Structure: relaxed

As for the calculated volume: 459.08 Å³/cell.

It has space group C2/c (No. 15), with a = 11.180 Å, b = 4.761 Å, c = 9.534 Å, α = 90.00°, β = 115.23° and γ = 90.00°. Symmetry generates all atoms from Li at (0.000, 0.001, 0.250), Pr at (0.173, 0.000, 0.087) and Sn at (0.000, 0.499, 0.750).

***

Which of them is the least stable? Correct choice: 2).